No. 1
# DyTaP2Rh5

A geometry-optimized DyTaP2Rh5 structure (GGA-PBE, the Alexandria database).

Calculated values
Formation enthalpy at 0 K, eV/f.u.: -0.5
M_tot, μB/f.u.: 0.91
Total energy, eV per atom: -7.17

abc: 4.047 4.047 11.010
angles: 90.00 90.00 90.00
Site moments in Bohr magnetons follow the coordinates.
Atoms (fractional coordinates):
Dy  0.500  0.500  0.500  0.01
Ta  0.000  0.000  0.000  0.61
P  0.000  0.000  0.218  0.00
P  0.000  0.000  0.782  0.00
Rh  0.000  0.000  0.500  -0.08
Rh  0.000  0.500  0.691  0.01
Rh  0.500  0.000  0.309  0.01
Rh  0.000  0.500  0.309  0.01
Rh  0.500  0.000  0.691  0.01

No. 2
# HfCoSb2Pd

A geometry-optimized HfCoSb2Pd structure (GGA-PBE, the Alexandria database).

Calculated values
M_tot, μB/f.u.: 2.06
Total energy, eV per atom: -5.06

abc: 5.425 4.924 5.425
angles: 90.00 90.00 90.00
Site moments in Bohr magnetons follow the coordinates.
Atoms (fractional coordinates):
Sb  0.000  0.000  0.500  -0.02
Sb  0.500  0.000  0.000  -0.02
Hf  0.000  0.000  0.000  0.02
Pd  0.000  0.500  0.000  -0.01
Co  0.500  0.500  0.500  2.12

No. 3
# BaSr2AcCd4

A geometry-optimized BaSr2AcCd4 structure (GGA-PBE, the Alexandria database).

Calculated values
Formation enthalpy at 0 K, eV/f.u.: -2.6
M_tot, μB/f.u.: 0.00
Total energy, eV per atom: -1.96

abc: 5.804 5.804 10.095
angles: 73.29 73.29 60.00
Atoms (fractional coordinates):
Ba  0.000  0.000  0.000
Sr  0.750  0.750  0.751
Sr  0.250  0.250  0.249
Ac  0.500  0.500  0.500
Cd  0.378  0.378  0.866
Cd  0.873  0.873  0.381
Cd  0.127  0.127  0.619
Cd  0.622  0.622  0.134

No. 4
# SiC3

A geometry-optimized SiC3 structure (GGA-PBE, the Alexandria database).

Calculated values
M_tot, μB/f.u.: 0.00
Total energy, eV per atom: -5.11
Excess energy over the best structure of this formula in the dataset, meV per atom: 2660.6

abc: 3.215 3.215 3.215
angles: 90.00 90.00 90.00
Atoms (fractional coordinates):
Si  0.000  0.000  0.000
C  0.000  0.500  0.500
C  0.500  0.000  0.500
C  0.500  0.500  0.000

No. 5
# YHfPdPt

A geometry-optimized YHfPdPt structure (GGA-PBE, the Alexandria database).

Calculated values
Formation enthalpy at 0 K, eV/f.u.: -3.5
M_tot, μB/f.u.: 0.00
Total energy, eV per atom: -7.79

abc: 4.821 4.821 4.821
angles: 60.00 60.00 60.00
Atoms (fractional coordinates):
Y  0.000  0.000  0.000
Hf  0.500  0.500  0.500
Pd  0.750  0.750  0.750
Pt  0.250  0.250  0.250

No. 6
# Al2Cr2C

A geometry-optimized Al2Cr2C structure (GGA-PBE, the Alexandria database).

Calculated values
Formation enthalpy at 0 K, eV/f.u.: 2.0
M_tot, μB/f.u.: 0.91
Total energy, eV per atom: -6.80

abc: 4.030 4.030 3.762
angles: 90.00 90.00 90.00
Site moments in Bohr magnetons follow the coordinates.
Atoms (fractional coordinates):
Cr  0.500  0.500  0.500  0.30
Cr  0.000  0.000  0.500  0.63
C  0.000  0.000  0.000  -0.03
Al  0.000  0.500  0.000  -0.01
Al  0.500  0.000  0.000  -0.01

Which formula does entry 4 have? SiC3

What is the total energy in the second record? -5.06 eV per atom

What is the M_tot in the sixth record? 0.91 μB/f.u.